Entry from Alexandria: a relaxed structure of KLiRh2F (GGA-PBE).

```
data_KLiRh2F
_chemical_formula_sum 'K1 Li1 Rh2 F1'
_cell_length_a 4.214
_cell_length_b 4.214
_cell_length_c 5.769
_cell_angle_alpha 90.00
_cell_angle_beta 90.00
_cell_angle_gamma 90.00
_space_group_name_H-M_alt 'P 4/m m m'
_space_group_IT_number 123
_space_group_name_Hall '-P 4 2'
loop_
_atom_site_label
_atom_site_fract_x
_atom_site_fract_y
_atom_site_fract_z
K1 0.000 0.000 0.000
Li1 0.500 0.500 0.500
Rh1 0.000 0.500 0.500
F1 0.500 0.500 0.000
```

As for the raw formation energy: 0.241 eV per atom. For the total energy, the calculation gives -18.4 eV for the cell shown. The calculation puts the calculated volume at 20.49 Å³ per atom.

---

Entry from Alexandria: a relaxed structure of K2LiRh3F12 (GGA-PBE).

```
data_K2LiRh3F12
_chemical_formula_sum 'K6 Li3 Rh9 F36'
_cell_length_a 7.3070
_cell_length_b 7.3070
_cell_length_c 18.1759
_cell_angle_alpha 90.00
_cell_angle_beta 90.00
_cell_angle_gamma 120.00
_space_group_name_H-M_alt 'R -3 m'
_space_group_IT_number 166
_space_group_name_Hall '-R 3 2"'
loop_
_atom_site_label
_atom_site_fract_x
_atom_site_fract_y
_atom_site_fract_z
K1 0.0000 0.0000 0.1475
Li1 0.0000 0.0000 0.5000
Rh1 0.0000 0.5000 0.0000
F1 0.0548 0.5274 0.1081
F2 0.0573 0.5287 0.3597
```

As for the raw formation energy: -1.998 eV per atom. For the total energy, the calculation gives -253.7 eV for the cell shown. The calculation puts the calculated volume at 15.56 Å³ per atom.

---

Entry from Alexandria: a relaxed structure of KLi2RuF8 (GGA-PBE).

```
data_KLi2RuF8
_chemical_formula_sum 'K1 Li2 Ru1 F8'
_cell_length_a 5.0466
_cell_length_b 5.0466
_cell_length_c 8.0442
_cell_angle_alpha 90.00
_cell_angle_beta 90.00
_cell_angle_gamma 120.00
_space_group_name_H-M_alt 'P -3'
_space_group_IT_number 147
_space_group_name_Hall '-P 3'
loop_
_atom_site_label
_atom_site_fract_x
_atom_site_fract_y
_atom_site_fract_z
K1 0.0000 0.0000 0.0000
Li1 0.3333 0.6667 0.7545
Ru1 0.0000 0.0000 0.5000
F1 0.0125 0.3096 0.6425
F2 0.3333 0.6667 0.9737
```

As for the raw formation energy: -2.227 eV per atom. For the total energy, the calculation gives -55.9 eV for the cell shown. The calculation puts the calculated volume at 14.79 Å³ per atom.

---

Entry from Alexandria: a relaxed structure of K2LiRuF6 (GGA-PBE).

```
data_K2LiRuF6
_chemical_formula_sum 'K8 Li4 Ru4 F24'
_cell_length_a 8.211
_cell_length_b 8.211
_cell_length_c 8.211
_cell_angle_alpha 90.00
_cell_angle_beta 90.00
_cell_angle_gamma 90.00
_space_group_name_H-M_alt 'F m -3 m'
_space_group_IT_number 225
_space_group_name_Hall '-F 4 2 3'
loop_
_atom_site_label
_atom_site_fract_x
_atom_site_fract_y
_atom_site_fract_z
K1 0.250 0.250 0.250
Li1 0.000 0.000 0.000
Ru1 0.000 0.000 0.500
F1 0.000 0.000 0.253
```

As for the raw formation energy: -2.404 eV per atom. For the total energy, the calculation gives -194.6 eV for the cell shown. The calculation puts the calculated volume at 13.84 Å³ per atom.

---

Entry from Alexandria: a relaxed structure of KLiSF2 (GGA-PBE).

```
data_KLiSF2
_chemical_formula_sum 'K1 Li1 S1 F2'
_cell_length_a 4.984
_cell_length_b 4.984
_cell_length_c 5.346
_cell_angle_alpha 90.00
_cell_angle_beta 90.00
_cell_angle_gamma 90.00
_space_group_name_H-M_alt 'P 4/m m m'
_space_group_IT_number 123
_space_group_name_Hall '-P 4 2'
loop_
_atom_site_label
_atom_site_fract_x
_atom_site_fract_y
_atom_site_fract_z
K1 0.000 0.000 0.000
Li1 0.500 0.500 0.000
S1 0.000 0.000 0.500
F1 0.000 0.500 0.500
```

As for the distance to the lowest polymorph of the same formula: 848 meV/atom. As for the raw formation energy: -0.561 eV per atom. For the total energy, the calculation gives -13.7 eV for the cell shown. The calculation puts the calculated volume at 26.55 Å³ per atom.

---

Entry from Alexandria: a relaxed structure of KLiSF2 (GGA-PBE).

```
data_KLiSF2
_chemical_formula_sum 'K1 Li1 S1 F2'
_cell_length_a 4.332
_cell_length_b 4.332
_cell_length_c 4.579
_cell_angle_alpha 90.00
_cell_angle_beta 90.00
_cell_angle_gamma 90.00
_space_group_name_H-M_alt 'P 4/m m m'
_space_group_IT_number 123
_space_group_name_Hall '-P 4 2'
loop_
_atom_site_label
_atom_site_fract_x
_atom_site_fract_y
_atom_site_fract_z
K1 0.000 0.000 0.000
Li1 0.500 0.500 0.500
S1 0.500 0.500 0.000
F1 0.000 0.500 0.500
```

As for the distance to the lowest polymorph of the same formula: 0 meV/atom. As for the raw formation energy: -1.410 eV per atom. For the total energy, the calculation gives -17.9 eV for the cell shown. The calculation puts the calculated volume at 17.18 Å³ per atom.

---

Entry from Alexandria: a relaxed structure of KLiSbF6 (GGA-PBE).

```
data_KLiSbF6
_chemical_formula_sum 'K1 Li1 Sb1 F6'
_cell_length_a 5.5224
_cell_length_b 5.5224
_cell_length_c 5.7683
_cell_angle_alpha 90.00
_cell_angle_beta 90.00
_cell_angle_gamma 120.00
_space_group_name_H-M_alt 'P 3 1 2'
_space_group_IT_number 149
_space_group_name_Hall 'P 3 2'
loop_
_atom_site_label
_atom_site_fract_x
_atom_site_fract_y
_atom_site_fract_z
K1 0.0000 0.0000 0.0000
Li1 0.6667 0.3333 0.5000
Sb1 0.3333 0.6667 0.5000
F1 0.0045 0.3788 0.6984
```

As for the raw formation energy: -2.578 eV per atom. For the total energy, the calculation gives -41.6 eV for the cell shown. The calculation puts the calculated volume at 16.93 Å³ per atom.

---

Entry from Alexandria: a relaxed structure of KLiSc2F8 (GGA-PBE).

```
data_KLiSc2F8
_chemical_formula_sum 'K1 Li1 Sc2 F8'
_cell_length_a 5.202
_cell_length_b 5.240
_cell_length_c 6.667
_cell_angle_alpha 89.83
_cell_angle_beta 89.83
_cell_angle_gamma 84.38
_space_group_name_H-M_alt 'P -1'
_space_group_IT_number 2
_space_group_name_Hall '-P 1'
loop_
_atom_site_label
_atom_site_fract_x
_atom_site_fract_y
_atom_site_fract_z
K1 0.000 0.000 0.000
Li1 0.000 0.000 0.500
Sc1 0.500 0.500 0.260
F1 0.217 0.779 0.710
F2 0.219 0.780 0.290
F3 0.326 0.327 0.501
F4 0.341 0.340 0.001
```

As for the raw formation energy: -3.545 eV per atom. For the total energy, the calculation gives -73.2 eV for the cell shown. The calculation puts the calculated volume at 15.07 Å³ per atom.

---

Entry from Alexandria: a relaxed structure of KLiScF6 (GGA-PBE).

```
data_KLiScF6
_chemical_formula_sum 'K4 Li4 Sc4 F24'
_cell_length_a 6.964
_cell_length_b 7.583
_cell_length_c 10.670
_cell_angle_alpha 90.00
_cell_angle_beta 90.00
_cell_angle_gamma 90.00
_space_group_name_H-M_alt 'I m m a'
_space_group_IT_number 74
_space_group_name_Hall '-I 2b 2'
loop_
_atom_site_label
_atom_site_fract_x
_atom_site_fract_y
_atom_site_fract_z
K1 0.000 0.250 0.120
Li1 0.250 0.250 0.750
Sc1 0.000 0.000 0.500
F1 0.000 0.250 0.425
F2 0.000 0.250 0.867
F3 0.205 0.056 0.626
```

As for the raw formation energy: -2.968 eV per atom. For the total energy, the calculation gives -189.1 eV for the cell shown. The calculation puts the calculated volume at 15.65 Å³ per atom.

---

Entry from Alexandria: a relaxed structure of K2LiSc3F12 (GGA-PBE).

```
data_K2LiSc3F12
_chemical_formula_sum 'K6 Li3 Sc9 F36'
_cell_length_a 7.7276
_cell_length_b 7.7276
_cell_length_c 18.2537
_cell_angle_alpha 90.00
_cell_angle_beta 90.00
_cell_angle_gamma 120.00
_space_group_name_H-M_alt 'R -3 m'
_space_group_IT_number 166
_space_group_name_Hall '-R 3 2"'
loop_
_atom_site_label
_atom_site_fract_x
_atom_site_fract_y
_atom_site_fract_z
K1 0.0000 0.0000 0.1651
Li1 0.0000 0.0000 0.5000
Sc1 0.0000 0.5000 0.0000
F1 0.0631 0.5316 0.1058
F2 0.0834 0.5417 0.3571
```

As for the raw formation energy: -3.575 eV per atom. For the total energy, the calculation gives -329.7 eV for the cell shown. The calculation puts the calculated volume at 17.48 Å³ per atom.

---

Entry from Alexandria: a relaxed structure of K3Li2ScF9 (GGA-PBE).

```
data_K3Li2ScF9
_chemical_formula_sum 'K3 Li2 Sc1 F9'
_cell_length_a 5.7557
_cell_length_b 5.7557
_cell_length_c 7.2708
_cell_angle_alpha 90.00
_cell_angle_beta 90.00
_cell_angle_gamma 120.00
_space_group_name_H-M_alt 'P -3 m 1'
_space_group_IT_number 164
_space_group_name_Hall '-P 3 2"'
loop_
_atom_site_label
_atom_site_fract_x
_atom_site_fract_y
_atom_site_fract_z
K1 0.0000 0.0000 0.0000
K2 0.3333 0.6667 0.6848
Li1 0.3333 0.6667 0.1811
Sc1 0.0000 0.0000 0.5000
F1 0.0000 0.5000 0.0000
F2 0.1650 0.3300 0.3370
```

As for the raw formation energy: -2.985 eV per atom. For the total energy, the calculation gives -75.1 eV for the cell shown. The calculation puts the calculated volume at 13.91 Å³ per atom.

---

Entry from Alexandria: a relaxed structure of K2LiSeF (GGA-PBE).

```
data_K2LiSeF
_chemical_formula_sum 'K2 Li1 Se1 F1'
_cell_length_a 5.199
_cell_length_b 5.199
_cell_length_c 4.309
_cell_angle_alpha 90.00
_cell_angle_beta 90.00
_cell_angle_gamma 90.00
_space_group_name_H-M_alt 'P 4/m m m'
_space_group_IT_number 123
_space_group_name_Hall '-P 4 2'
loop_
_atom_site_label
_atom_site_fract_x
_atom_site_fract_y
_atom_site_fract_z
K1 0.000 0.500 0.000
Li1 0.000 0.000 0.500
Se1 0.500 0.500 0.500
F1 0.000 0.000 0.000
```

As for the raw formation energy: -1.636 eV per atom. For the total energy, the calculation gives -17.6 eV for the cell shown. The calculation puts the calculated volume at 23.29 Å³ per atom.

---

> Look up the calculated volume of the tenth one.

17.48 Å³ per atom